Material: BaTi2Ni2O7
Method: DFT, PBE with a Hubbard U
State: optimized geometry

Cell lengths 8.7868, 8.7868, 8.7868 Å; angles 153.50, 38.92, 152.02 degrees
Fractional coordinates of all 12 atoms:
Ba1 0.0000 0.0000 0.0000
Ti1 0.3635 0.9806 0.3829
Ti2 0.5977 0.9806 0.6171
Ni1 0.2872 0.5376 0.7497
Ni2 0.7879 0.5376 0.2503
O1 0.1757 0.5556 0.6201
O2 0.3117 0.0465 0.2652
O3 0.4109 0.5314 0.8795
O4 0.5371 0.0371 0.5000
O5 0.6520 0.5314 0.1205
O6 0.7812 0.0465 0.7348
O7 0.9354 0.5556 0.3799

Properties
Final energy: -86.01 eV for the cell shown
DOS at the Fermi energy: 0.00 states/eV/cell
Calculated density: 5.4 g/cm³
Symmetry: Imm2 (44)
Crystal system: orthorhombic